# Rb2VZnF

Crystalline Rb2VZnF at its relaxed geometry (PBE with a Hubbard U, Alexandria).

```
5
Lattice="5.243 0.000 0.000 0.000 5.243 0.000 0.000 0.000 6.068" Properties=species:S:1:pos:R:3 pbc="T T T"
Rb 0.000 2.621 0.000
Rb 2.621 0.000 0.000
V 0.000 0.000 3.034
Zn 2.621 2.621 3.034
F 2.621 2.621 0.000
```

Summary:
- Space-group type: P4/mmm (123)
- E_tot: -12.3 eV per cell
- Crystal system: tetragonal